# 1
# Fe2ReTePd

Crystalline Fe2ReTePd at its relaxed geometry (GGA-PBE, the Alexandria database).

Cell: 4.653 4.653 4.847 Å, 90.00 90.00 90.00°
Atoms (fractional coordinates):
Fe  0.000  0.500  0.000
Fe  0.500  0.000  0.000
Re  0.000  0.000  0.500
Te  0.500  0.500  0.500
Pd  0.000  0.000  0.000

SG: P4/mmm, No. 123
Spin magnetization: 8.48 μB/cell
Formation energy without anion corrections: 1.46 eV/atom
Energy: -6.081 eV per atom

# 2
# BaLaBS4

Crystalline BaLaBS4 at its relaxed geometry (GGA-PBE, the Alexandria database).

Cell: 6.167 6.498 8.657 Å, 90.00 108.64 90.00°
Atoms (fractional coordinates):
Ba  0.204  0.250  0.422
Ba  0.796  0.750  0.578
La  0.279  0.250  0.955
La  0.721  0.750  0.045
B  0.301  0.750  0.199
B  0.699  0.250  0.801
S  0.105  0.750  0.337
S  0.143  0.750  0.961
S  0.497  0.510  0.245
S  0.497  0.990  0.245
S  0.503  0.010  0.755
S  0.503  0.490  0.755
S  0.857  0.250  0.039
S  0.895  0.250  0.663

SG: P2_1/m, No. 11
Spin magnetization: 0.00 μB/cell
Formation energy without anion corrections: -1.59 eV/atom
Energy: -5.884 eV per atom

# 3
# SbMo2Cl

Crystalline SbMo2Cl at its relaxed geometry (GGA-PBE, the Alexandria database).

Cell: 3.327 4.514 12.003 Å, 90.00 90.00 90.00°
Atoms (fractional coordinates):
Sb  0.000  0.000  0.000
Sb  0.500  0.500  0.500
Mo  0.000  0.000  0.492
Mo  0.000  0.500  0.141
Mo  0.500  0.000  0.641
Mo  0.500  0.500  0.992
Cl  0.000  0.500  0.768
Cl  0.500  0.000  0.268

SG: Imm2, No. 44
ΔE to the lowest computed polymorph: 470 meV per atom
Spin magnetization: 0.00 μB/cell
Formation energy without anion corrections: 0.37 eV/atom
Energy: -6.538 eV per atom

# 4
# ZrRe2Cl

Crystalline ZrRe2Cl at its relaxed geometry (GGA-PBE, the Alexandria database).

Cell: 6.500 6.500 6.500 Å, 90.00 90.00 90.00°
Atoms (fractional coordinates):
Zr  0.000  0.000  0.000
Zr  0.000  0.500  0.500
Zr  0.500  0.000  0.500
Zr  0.500  0.500  0.000
Re  0.250  0.250  0.250
Re  0.250  0.250  0.750
Re  0.250  0.750  0.250
Re  0.250  0.750  0.750
Re  0.750  0.250  0.250
Re  0.750  0.250  0.750
Re  0.750  0.750  0.250
Re  0.750  0.750  0.750
Cl  0.000  0.000  0.500
Cl  0.000  0.500  0.000
Cl  0.500  0.000  0.000
Cl  0.500  0.500  0.500

SG: Fm-3m, No. 225
ΔE to the lowest computed polymorph: 1259 meV per atom
Spin magnetization: 0.00 μB/cell
Formation energy without anion corrections: 1.13 eV/atom
Energy: -7.689 eV per atom

# 5
# YNpTl2O6

Crystalline YNpTl2O6 at its relaxed geometry (GGA-PBE, the Alexandria database).

Cell: 6.139 6.139 6.139 Å, 120.00 120.00 60.00°
Atoms (fractional coordinates):
Y  0.000  0.000  0.000
Np  0.500  0.500  0.500
Tl  0.250  0.250  0.750
Tl  0.750  0.750  0.250
O  0.264  0.735  0.735
O  0.265  0.265  0.264
O  0.265  0.736  0.265
O  0.735  0.264  0.735
O  0.735  0.735  0.736
O  0.736  0.265  0.265

SG: C2/m, No. 12
Spin magnetization: 0.07 μB/cell
Formation energy without anion corrections: -2.27 eV/atom
Energy: -7.657 eV per atom

# 6
# K2Nb3S6

Crystalline K2Nb3S6 at its relaxed geometry (GGA-PBE, the Alexandria database).

Cell: 15.860 5.937 5.937 Å, 120.00 90.00 90.00°
Atoms (fractional coordinates):
K  0.000  0.167  0.833
K  0.000  0.833  0.167
K  0.500  0.167  0.500
K  0.500  0.500  0.167
Nb  0.251  0.167  0.833
Nb  0.251  0.499  0.499
Nb  0.251  0.833  0.167
Nb  0.749  0.167  0.833
Nb  0.749  0.499  0.499
Nb  0.749  0.833  0.167
S  0.154  0.168  0.168
S  0.154  0.500  0.831
S  0.154  0.831  0.500
S  0.348  0.164  0.164
S  0.348  0.502  0.833
S  0.348  0.833  0.502
S  0.652  0.164  0.164
S  0.652  0.502  0.833
S  0.652  0.833  0.502
S  0.846  0.168  0.168
S  0.846  0.500  0.831
S  0.846  0.831  0.500

SG: Amm2, No. 38
Spin magnetization: 0.00 μB/cell
Formation energy without anion corrections: -1.24 eV/atom
Energy: -6.441 eV per atom

# 7
# Cd5AgHg3

Crystalline Cd5AgHg3 at its relaxed geometry (GGA-PBE, the Alexandria database).

Cell: 7.124 7.124 10.117 Å, 97.08 97.08 72.58°
Atoms (fractional coordinates):
Cd  0.023  0.023  0.652
Cd  0.172  0.828  0.000
Cd  0.199  0.586  0.241
Cd  0.224  0.224  0.907
Cd  0.414  0.801  0.759
Cd  0.586  0.199  0.241
Cd  0.776  0.776  0.093
Cd  0.801  0.414  0.759
Cd  0.828  0.172  0.000
Cd  0.977  0.977  0.348
Ag  0.389  0.389  0.731
Ag  0.611  0.611  0.269
Hg  0.180  0.180  0.195
Hg  0.225  0.225  0.496
Hg  0.500  0.500  0.000
Hg  0.500  0.500  0.500
Hg  0.775  0.775  0.504
Hg  0.820  0.820  0.805

SG: C2/m, No. 12
ΔE to the lowest computed polymorph: 82 meV per atom
Spin magnetization: 0.00 μB/cell
Energy: -0.810 eV per atom
DFT formation energy: 101 kJ/mol of formula units

# 8
# CeBe6

Crystalline CeBe6 at its relaxed geometry (GGA-PBE, the Alexandria database).

Cell: 7.694 4.435 9.430 Å, 90.00 90.00 90.00°
Atoms (fractional coordinates):
Ce  0.236  0.250  0.055
Ce  0.264  0.750  0.555
Ce  0.736  0.250  0.445
Ce  0.764  0.750  0.945
Be  0.048  0.750  0.109
Be  0.065  0.005  0.311
Be  0.065  0.495  0.311
Be  0.070  0.250  0.522
Be  0.129  0.750  0.851
Be  0.197  0.250  0.744
Be  0.303  0.750  0.244
Be  0.371  0.250  0.351
Be  0.430  0.750  0.022
Be  0.435  0.505  0.811
Be  0.435  0.995  0.811
Be  0.452  0.250  0.609
Be  0.548  0.750  0.391
Be  0.565  0.005  0.189
Be  0.565  0.495  0.189
Be  0.570  0.250  0.978
Be  0.629  0.750  0.649
Be  0.697  0.250  0.756
Be  0.803  0.750  0.256
Be  0.871  0.250  0.149
Be  0.930  0.750  0.478
Be  0.935  0.505  0.689
Be  0.935  0.995  0.689
Be  0.952  0.250  0.891

SG: Pnma, No. 62
Spin magnetization: 0.00 μB/cell
Energy: -3.990 eV per atom
DFT formation energy: 35 kJ/mol of formula units

# 9
# Sr3TeS6

Crystalline Sr3TeS6 at its relaxed geometry (GGA-PBE, the Alexandria database).

Cell: 10.114 10.114 5.894 Å, 90.00 90.00 105.27°
Atoms (fractional coordinates):
Sr  0.102  0.898  0.500
Sr  0.216  0.425  0.428
Sr  0.425  0.216  0.928
Sr  0.575  0.784  0.428
Sr  0.784  0.575  0.928
Sr  0.898  0.102  0.000
Te  0.309  0.691  0.894
Te  0.691  0.309  0.394
S  0.083  0.608  0.740
S  0.156  0.172  0.714
S  0.172  0.156  0.214
S  0.272  0.728  0.281
S  0.392  0.917  0.740
S  0.497  0.503  0.136
S  0.503  0.497  0.636
S  0.608  0.083  0.240
S  0.728  0.272  0.781
S  0.828  0.844  0.714
S  0.844  0.828  0.214
S  0.917  0.392  0.240

SG: Cmc2_1, No. 36
Spin magnetization: 0.00 μB/cell
Formation energy without anion corrections: -1.11 eV/atom
Energy: -4.408 eV per atom

# 10
# La2Ge3Pd2

Crystalline La2Ge3Pd2 at its relaxed geometry (GGA-PBE, the Alexandria database).

Cell: 9.693 9.693 7.180 Å, 90.00 90.00 153.65°
Atoms (fractional coordinates):
La  0.054  0.946  0.750
La  0.157  0.843  0.250
La  0.843  0.157  0.750
La  0.946  0.054  0.250
Ge  0.222  0.778  0.750
Ge  0.438  0.562  0.568
Ge  0.438  0.562  0.932
Ge  0.562  0.438  0.068
Ge  0.562  0.438  0.432
Ge  0.778  0.222  0.250
Pd  0.304  0.696  0.049
Pd  0.304  0.696  0.451
Pd  0.696  0.304  0.549
Pd  0.696  0.304  0.951

SG: Cmcm, No. 63
ΔE to the lowest computed polymorph: 0 meV per atom
Spin magnetization: 0.00 μB/cell
Energy: -5.746 eV per atom
DFT formation energy: -592 kJ/mol of formula units

# 11
# LiCa2Mg2Cd5

Crystalline LiCa2Mg2Cd5 at its relaxed geometry (GGA-PBE, the Alexandria database).

Cell: 11.189 11.189 3.906 Å, 90.00 90.00 90.00°
Atoms (fractional coordinates):
Li  0.000  0.000  0.000
Li  0.500  0.500  0.000
Ca  0.173  0.327  0.000
Ca  0.327  0.827  0.000
Ca  0.673  0.173  0.000
Ca  0.827  0.673  0.000
Mg  0.129  0.629  0.000
Mg  0.371  0.129  0.000
Mg  0.629  0.871  0.000
Mg  0.871  0.371  0.000
Cd  0.000  0.500  0.500
Cd  0.057  0.814  0.500
Cd  0.186  0.057  0.500
Cd  0.314  0.557  0.500
Cd  0.443  0.314  0.500
Cd  0.500  0.000  0.500
Cd  0.557  0.686  0.500
Cd  0.686  0.443  0.500
Cd  0.814  0.943  0.500
Cd  0.943  0.186  0.500

SG: P4/mbm, No. 127
Spin magnetization: 0.00 μB/cell
Energy: -1.562 eV per atom
DFT formation energy: -187 kJ/mol of formula units

# 12
# SrBe2C

Crystalline SrBe2C at its relaxed geometry (GGA-PBE, the Alexandria database).

Cell: 5.630 5.630 5.630 Å, 60.00 60.00 60.00°
Atoms (fractional coordinates):
Sr  0.125  0.125  0.125
Sr  0.875  0.875  0.875
Be  0.000  0.500  0.500
Be  0.500  0.000  0.500
Be  0.500  0.500  0.000
Be  0.500  0.500  0.500
C  0.375  0.375  0.375
C  0.625  0.625  0.625

SG: Fd-3m, No. 227
Spin magnetization: 0.00 μB/cell
Energy: -4.190 eV per atom
DFT formation energy: 154 kJ/mol of formula units

# 13
# Er5Sc4Tl4

Crystalline Er5Sc4Tl4 at its relaxed geometry (GGA-PBE, the Alexandria database).

Cell: 8.837 8.837 8.837 Å, 94.25 94.25 148.39°
Atoms (fractional coordinates):
Er  0.000  0.000  0.000
Er  0.309  0.392  0.701
Er  0.392  0.691  0.082
Er  0.608  0.309  0.918
Er  0.691  0.608  0.299
Sc  0.097  0.587  0.684
Sc  0.413  0.097  0.510
Sc  0.587  0.903  0.490
Sc  0.903  0.413  0.316
Tl  0.087  0.245  0.332
Tl  0.245  0.913  0.157
Tl  0.755  0.087  0.843
Tl  0.913  0.755  0.668

SG: I4/m, No. 87
Spin magnetization: 0.00 μB/cell
Energy: -4.671 eV per atom
DFT formation energy: -301 kJ/mol of formula units

# 14
# YPaTe2

Crystalline YPaTe2 at its relaxed geometry (GGA-PBE, the Alexandria database).

Cell: 3.765 3.765 7.505 Å, 90.00 90.00 90.00°
Atoms (fractional coordinates):
Y  0.000  0.000  0.000
Pa  0.000  0.000  0.500
Te  0.500  0.500  0.256
Te  0.500  0.500  0.744

SG: P4/mmm, No. 123
ΔE to the lowest computed polymorph: 0 meV per atom
Spin magnetization: 1.36 μB/cell
Formation energy without anion corrections: -0.90 eV/atom
Energy: -6.457 eV per atom

# 15
# LiPrHoRh

Crystalline LiPrHoRh at its relaxed geometry (GGA-PBE, the Alexandria database).

Cell: 7.112 7.112 7.112 Å, 90.00 90.00 90.00°
Atoms (fractional coordinates):
Li  0.000  0.000  0.000
Li  0.000  0.500  0.500
Li  0.500  0.000  0.500
Li  0.500  0.500  0.000
Pr  0.250  0.250  0.250
Pr  0.250  0.750  0.750
Pr  0.750  0.250  0.750
Pr  0.750  0.750  0.250
Ho  0.250  0.250  0.750
Ho  0.250  0.750  0.250
Ho  0.750  0.250  0.250
Ho  0.750  0.750  0.750
Rh  0.000  0.000  0.500
Rh  0.000  0.500  0.000
Rh  0.500  0.000  0.000
Rh  0.500  0.500  0.500

SG: F-43m, No. 216
Spin magnetization: 0.00 μB/cell
Energy: -5.055 eV per atom
DFT formation energy: -154 kJ/mol of formula units

# 16
# LaCdCl2

Crystalline LaCdCl2 at its relaxed geometry (GGA-PBE, the Alexandria database).

Cell: 4.293 4.293 10.911 Å, 90.00 90.00 90.00°
Atoms (fractional coordinates):
La  0.000  0.000  0.000
La  0.500  0.500  0.500
Cd  0.000  0.500  0.750
Cd  0.500  0.000  0.250
Cl  0.000  0.000  0.500
Cl  0.000  0.500  0.250
Cl  0.500  0.000  0.750
Cl  0.500  0.500  0.000

SG: I-4m2, No. 119
ΔE to the lowest computed polymorph: 248 meV per atom
Spin magnetization: 0.00 μB/cell
Formation energy without anion corrections: -1.18 eV/atom
Energy: -3.567 eV per atom

# 17
# DyTcGe2

Crystalline DyTcGe2 at its relaxed geometry (GGA-PBE, the Alexandria database).

Cell: 4.689 4.689 11.162 Å, 90.00 90.00 120.00°
Atoms (fractional coordinates):
Dy  0.000  0.000  0.000
Dy  0.333  0.667  0.667
Dy  0.667  0.333  0.333
Tc  0.000  0.000  0.500
Tc  0.333  0.667  0.167
Tc  0.667  0.333  0.833
Ge  0.000  0.000  0.253
Ge  0.000  0.000  0.747
Ge  0.333  0.667  0.414
Ge  0.333  0.667  0.920
Ge  0.667  0.333  0.080
Ge  0.667  0.333  0.586

SG: R-3m, No. 166
ΔE to the lowest computed polymorph: 216 meV per atom
Spin magnetization: 0.00 μB/cell
Energy: -6.346 eV per atom
DFT formation energy: -114 kJ/mol of formula units

# 18
# Tb2Dy2YTm2

Crystalline Tb2Dy2YTm2 at its relaxed geometry (GGA-PBE, the Alexandria database).

Cell: 8.726 8.726 8.726 Å, 37.66 37.66 37.66°
Atoms (fractional coordinates):
Tb  0.141  0.141  0.141
Tb  0.859  0.859  0.859
Dy  0.284  0.284  0.284
Dy  0.716  0.716  0.716
Y  0.000  0.000  0.000
Tm  0.429  0.429  0.429
Tm  0.571  0.571  0.571

SG: R-3m, No. 166
Spin magnetization: 0.00 μB/cell
Energy: -4.699 eV per atom
DFT formation energy: 95 kJ/mol of formula units

# 19
# Sm4SiAg

Crystalline Sm4SiAg at its relaxed geometry (GGA-PBE, the Alexandria database).

Cell: 11.098 11.098 6.349 Å, 90.00 90.00 152.48°
Atoms (fractional coordinates):
Sm  0.062  0.938  0.500
Sm  0.207  0.793  0.743
Sm  0.209  0.791  0.264
Sm  0.375  0.625  0.507
Sm  0.625  0.375  0.007
Sm  0.791  0.209  0.764
Sm  0.793  0.207  0.243
Sm  0.938  0.062  0.000
Si  0.340  0.660  0.004
Si  0.660  0.340  0.504
Ag  0.075  0.925  0.001
Ag  0.925  0.075  0.501

SG: Cmc2_1, No. 36
Spin magnetization: 0.00 μB/cell
Formation energy without anion corrections: -0.09 eV/atom
Energy: -4.616 eV per atom

# 20
# AcGdSbRh

Crystalline AcGdSbRh at its relaxed geometry (GGA-PBE, the Alexandria database).

Cell: 7.584 7.584 7.584 Å, 90.00 90.00 90.00°
Atoms (fractional coordinates):
Ac  0.000  0.000  0.000
Ac  0.000  0.500  0.500
Ac  0.500  0.000  0.500
Ac  0.500  0.500  0.000
Gd  0.000  0.000  0.500
Gd  0.000  0.500  0.000
Gd  0.500  0.000  0.000
Gd  0.500  0.500  0.500
Sb  0.250  0.250  0.250
Sb  0.250  0.750  0.750
Sb  0.750  0.250  0.750
Sb  0.750  0.750  0.250
Rh  0.250  0.250  0.750
Rh  0.250  0.750  0.250
Rh  0.750  0.250  0.250
Rh  0.750  0.750  0.750

SG: F-43m, No. 216
Spin magnetization: 28.01 μB/cell
Formation energy without anion corrections: -0.64 eV/atom
Energy: -8.051 eV per atom